Here is Pr6NdHo2Tm after structural relaxation from Alexandria via LeMat-Bulk. Energies are from PBE-GGA.

The crystal system is monoclinic. Its magnetic moment is 0.000 μB per atom. The density of states at the Fermi level comes out at 28.993 states/eV/cell. The total energy comes out at -4.59 eV per atom. The space group is No. 15. Its formation energy is 0.11 eV per atom.

abc: 9.0049 9.0049 9.7109
angles: 93.70 93.70 117.21
Fractional coordinates of all 20 atoms:
Pr (0.0047, 0.5620, 0.1882)
Pr (0.1153, 0.7609, 0.5547)
Pr (0.2391, 0.8847, 0.9453)
Pr (0.2945, 0.5132, 0.3832)
Pr (0.4380, 0.9953, 0.3118)
Pr (0.4868, 0.7055, 0.1168)
Pr (0.5132, 0.2945, 0.8832)
Pr (0.5620, 0.0047, 0.6882)
Pr (0.7055, 0.4868, 0.6168)
Pr (0.7609, 0.1153, 0.0547)
Pr (0.8847, 0.2391, 0.4453)
Pr (0.9953, 0.4380, 0.8118)
Nd (0.0280, 0.9720, 0.2500)
Nd (0.9720, 0.0280, 0.7500)
Ho (0.2027, 0.2991, 0.0482)
Ho (0.2991, 0.2027, 0.5482)
Ho (0.7009, 0.7973, 0.4518)
Ho (0.7973, 0.7009, 0.9518)
Tm (0.4123, 0.5877, 0.7500)
Tm (0.5877, 0.4123, 0.2500)